First-principles (PBE) data for FeCuAu2 after structural relaxation, as listed in Alexandria.

```
FeCuAu2
1.0
3.705 0.000 0.000
0.000 2.817 0.012
0.000 2.811 5.861
Fe Au Cu
1 2 1
Direct
0.500 0.750 0.750 Fe
0.000 0.999 0.000 Au
0.000 0.501 0.500 Au
0.500 0.250 0.250 Cu
```

Volume ... 61 Å³/cell
Energy relative to the elements ... 0.09 eV per atom
Space group ... P2/m

First-principles (PBE) data for HgTeRu2 after structural relaxation, as listed in Alexandria.

```
HgTeRu2
1.0
7.266 0.000 0.000
0.000 7.266 0.000
3.633 3.633 2.971
Hg Ru Te
2 4 2
Direct
0.000 0.000 0.000 Hg
0.750 0.250 0.500 Hg
0.875 0.840 0.750 Ru
0.590 0.125 0.250 Ru
0.375 0.410 0.750 Ru
0.160 0.625 0.250 Ru
0.250 0.750 0.500 Te
0.500 0.500 0.000 Te
```

Volume ... 157 Å³/cell
Uncorrected formation energy ... 722 meV per atom
Space group ... I-42d

First-principles (PBE) data for CuAsSeBr2 after structural relaxation, as listed in Alexandria.

```
CuAsSeBr2
1.0
-4.597 0.438 1.407
1.357 -0.536 4.602
0.597 4.975 0.404
Cu As Br Se
1 1 2 1
Direct
0.000 0.000 0.000 Cu
0.500 0.500 0.500 As
0.500 0.000 0.000 Br
0.000 0.500 0.000 Br
0.000 0.000 0.500 Se
```

Volume ... 117 Å³/cell
Uncorrected formation energy ... 419 meV per atom
Space group ... P4/mmm

First-principles (PBE) data for PmNpVN3 after structural relaxation, as listed in Alexandria.

```
PmNpVN3
1.0
-3.284 -0.441 0.962
2.165 -1.538 6.682
-0.748 7.484 0.880
V Np N Pm
2 2 6 2
Direct
0.250 0.094 0.595 V
0.750 0.906 0.405 V
0.750 0.360 0.830 Np
0.250 0.640 0.170 Np
0.750 0.880 0.151 N
0.750 0.170 0.510 N
0.250 0.585 0.873 N
0.250 0.830 0.490 N
0.750 0.415 0.127 N
0.250 0.120 0.849 N
0.750 0.838 0.829 Pm
0.250 0.162 0.171 Pm
```

Volume ... 186 Å³/cell
Uncorrected formation energy ... -1036 meV per atom
Space group ... P2_1/m

First-principles (PBE) data for Rb2PaInI8 after structural relaxation, as listed in Alexandria.

```
Rb2PaInI8
1.0
-7.005 2.918 -4.172
-3.747 -0.165 6.488
2.883 9.731 1.839
I Rb In Pa
8 2 1 1
Direct
0.121 0.769 0.791 I
0.116 0.766 0.207 I
0.696 0.745 0.503 I
0.299 0.204 0.002 I
0.879 0.231 0.209 I
0.884 0.234 0.793 I
0.701 0.796 0.998 I
0.304 0.255 0.497 I
0.500 0.506 0.258 Rb
0.500 0.494 0.742 Rb
0.000 0.000 0.500 In
0.000 0.000 0.000 Pa
```

Volume ... 669 Å³/cell
Uncorrected formation energy ... -999 meV per atom
Space group ... P-1

Among the records above, which one has the lowest volume?
FeCuAu2